Record 1
Entry from the Alexandria database: an optimized crystal structure of Tb2Sm4Tm5 (PBE-GGA).

Cell: 19.315 5.706 6.396 Å, 90.00 93.06 90.00°
Space group C2/m (No. 12)
Asymmetric unit:
1 Tb 0.099 0.000 0.049 [4 per cell]
2 Sm 0.030 0.500 0.772 [4 per cell]
3 Sm 0.195 0.000 0.574 [4 per cell]
4 Tm 0.000 0.000 0.500 [2 per cell]
5 Tm 0.131 0.500 0.372 [4 per cell]
6 Tm 0.211 0.500 0.898 [4 per cell]

Its energy of formation from the pure elements is 1.18 eV/f.u. For the energy above the most stable polymorph in this dataset, the calculation gives 0.000 eV per atom. Its crystal system is monoclinic.

Record 2
Entry from the Alexandria database: an optimized crystal structure of LaPrHoPb (PBE-GGA).

Cell: 8.000 8.000 8.000 Å, 90.00 90.00 90.00°
Space group F-43m (No. 216)
Asymmetric unit:
1 La 0.000 0.000 0.000 [4 per cell]
2 Pr 0.000 0.000 0.500 [4 per cell]
3 Ho 0.250 0.250 0.250 [4 per cell]
4 Pb 0.250 0.250 0.750 [4 per cell]

Its energy of formation from the pure elements is -0.67 eV/f.u. Its crystal system is cubic.

Record 3
Entry from the Alexandria database: an optimized crystal structure of FePCl (PBE-GGA).

Cell: 3.4038 3.4038 5.7236 Å, 90.00 90.00 120.00°
Space group P3m1 (No. 156)
Asymmetric unit:
1 Fe 0.0000 0.0000 0.0000 [1 per cell]
2 P 0.6667 0.3333 0.1425 [1 per cell]
3 Cl 0.3333 0.6667 0.7283 [1 per cell]

The value obtained for the raw formation energy is -0.18 eV/atom. For the energy above the most stable polymorph in this dataset, the calculation gives 0.228 eV per atom. Its crystal system is trigonal.

Record 4
Entry from the Alexandria database: an optimized crystal structure of NdLuTlIr (PBE-GGA).

Cell: 7.266 7.266 7.266 Å, 90.00 90.00 90.00°
Space group F-43m (No. 216)
Asymmetric unit:
1 Nd 0.000 0.000 0.000 [4 per cell]
2 Lu 0.000 0.000 0.500 [4 per cell]
3 Tl 0.250 0.250 0.250 [4 per cell]
4 Ir 0.250 0.250 0.750 [4 per cell]

Its energy of formation from the pure elements is -1.68 eV/f.u. Its crystal system is cubic.

Record 5
Entry from the Alexandria database: an optimized crystal structure of KLiFe2 (PBE-GGA).

Cell: 2.834 4.555 10.390 Å, 90.00 90.00 90.00°
Space group Cmmm (No. 65)
Asymmetric unit:
1 K 0.000 0.000 0.000 [2 per cell]
2 Li 0.000 0.000 0.500 [2 per cell]
3 Fe 0.000 0.500 0.282 [4 per cell]

Its energy of formation from the pure elements is 3.64 eV/f.u. For the energy above the most stable polymorph in this dataset, the calculation gives 0.368 eV per atom. Its crystal system is orthorhombic.

Record 6
Entry from the Alexandria database: an optimized crystal structure of Pa2CdSb (PBE-GGA).

Cell: 4.652 4.652 4.632 Å, 90.00 90.00 90.00°
Space group P4/mmm (No. 123)
Asymmetric unit:
1 Pa 0.000 0.500 0.000 [2 per cell]
2 Cd 0.000 0.000 0.500 [1 per cell]
3 Sb 0.500 0.500 0.500 [1 per cell]

The value obtained for the raw formation energy is -0.06 eV/atom. For the energy above the most stable polymorph in this dataset, the calculation gives 0.000 eV per atom. Its crystal system is tetragonal.

Record 7
Entry from the Alexandria database: an optimized crystal structure of Rb3Dy3VSe8 (PBE-GGA).

Cell: 8.1640 8.1640 24.5802 Å, 90.00 90.00 120.00°
Space group R-3m (No. 166, hexagonal axes)
Asymmetric unit:
1 Rb 0.0000 0.5000 0.0000 [9 per cell]
2 Dy 0.0000 0.5000 0.5000 [9 per cell]
3 V 0.0000 0.0000 0.5000 [3 per cell]
4 Se 0.0000 0.0000 0.2325 [6 per cell]
5 Se 0.0286 0.5143 0.2273 [18 per cell]

The value obtained for the raw formation energy is -1.46 eV/atom. Its crystal system is trigonal.

Record 8
Entry from the Alexandria database: an optimized crystal structure of Ba2GaHg (PBE-GGA).

Cell: 5.999 5.999 20.754 Å, 90.00 90.00 90.00°
Space group I-42d (No. 122)
Asymmetric unit:
1 Ba 0.244 0.250 0.125 [8 per cell]
2 Ga 0.000 0.000 0.000 [4 per cell]
3 Hg 0.000 0.000 0.500 [4 per cell]

Its energy of formation from the pure elements is 0.09 eV/f.u. Its crystal system is tetragonal.

Record 9
Entry from the Alexandria database: an optimized crystal structure of AcEuNF (PBE-GGA).

Cell: 6.513 6.513 6.513 Å, 90.00 90.00 90.00°
Space group F-43m (No. 216)
Asymmetric unit:
1 Ac 0.000 0.000 0.000 [4 per cell]
2 Eu 0.000 0.000 0.500 [4 per cell]
3 N 0.250 0.250 0.750 [4 per cell]
4 F 0.250 0.250 0.250 [4 per cell]

The value obtained for the raw formation energy is -1.40 eV/atom. Its crystal system is cubic.

Record 10
Entry from the Alexandria database: an optimized crystal structure of Sm3Cd2BRu3 (PBE-GGA).

Cell: 7.7453 7.7453 3.4973 Å, 90.00 90.00 120.00°
Space group P-62m (No. 189)
Asymmetric unit:
1 Sm 0.0000 0.3413 0.0000 [3 per cell]
2 Cd 0.3333 0.6667 0.5000 [2 per cell]
3 B 0.0000 0.0000 0.0000 [1 per cell]
4 Ru 0.0000 0.7901 0.5000 [3 per cell]

Its energy of formation from the pure elements is -1.41 eV/f.u. Its crystal system is hexagonal.

Record 11
Entry from the Alexandria database: an optimized crystal structure of HgRu2OF (PBE-GGA).

Cell: 4.059 4.059 4.647 Å, 90.00 90.00 90.00°
Space group P4/mmm (No. 123)
Asymmetric unit:
1 Hg 0.000 0.000 0.000 [1 per cell]
2 Ru 0.000 0.500 0.500 [2 per cell]
3 O 0.500 0.500 0.000 [1 per cell]
4 F 0.500 0.500 0.500 [1 per cell]

The value obtained for the raw formation energy is 0.83 eV/atom. Its crystal system is tetragonal.

Record 12
Entry from the Alexandria database: an optimized crystal structure of GeP2Ir (PBE-GGA).

Cell: 6.213 6.213 6.213 Å, 90.00 90.00 90.00°
Space group Fm-3m (No. 225)
Asymmetric unit:
1 Ge 0.000 0.000 0.000 [4 per cell]
2 P 0.250 0.250 0.250 [8 per cell]
3 Ir 0.000 0.000 0.500 [4 per cell]

Its energy of formation from the pure elements is 1.35 eV/f.u. For the energy above the most stable polymorph in this dataset, the calculation gives 0.518 eV per atom. Its crystal system is cubic.

Record 13
Entry from the Alexandria database: an optimized crystal structure of RbIn2NiPb (PBE-GGA).

Cell: 5.168 5.168 5.378 Å, 90.00 90.00 90.00°
Space group P4/mmm (No. 123)
Asymmetric unit:
1 Rb 0.000 0.000 0.000 [1 per cell]
2 In 0.000 0.500 0.500 [2 per cell]
3 Ni 0.500 0.500 0.500 [1 per cell]
4 Pb 0.500 0.500 0.000 [1 per cell]

Its energy of formation from the pure elements is 0.11 eV/f.u. Its crystal system is tetragonal.

Record 14
Entry from the Alexandria database: an optimized crystal structure of Rb2CuBr6O (PBE-GGA).

Cell: 7.077 7.077 11.390 Å, 90.00 90.00 90.00°
Space group I4/mmm (No. 139)
Asymmetric unit:
1 Rb 0.000 0.500 0.250 [4 per cell]
2 Cu 0.000 0.000 0.000 [2 per cell]
3 Br 0.000 0.000 0.206 [4 per cell]
4 Br 0.231 0.231 0.500 [8 per cell]
5 O 0.000 0.000 0.500 [2 per cell]

The value obtained for the raw formation energy is -0.60 eV/atom. Its crystal system is tetragonal.

Record 15
Entry from the Alexandria database: an optimized crystal structure of KZnAsAu (PBE-GGA).

Cell: 3.972 3.972 12.770 Å, 90.00 90.00 90.00°
Space group P4/nmm (No. 129, origin choice 2)
Asymmetric unit:
1 K 0.250 0.250 0.229 [2 per cell]
2 Zn 0.250 0.750 0.500 [2 per cell]
3 As 0.250 0.250 0.626 [2 per cell]
4 Au 0.250 0.750 0.000 [2 per cell]

Its energy of formation from the pure elements is -1.26 eV/f.u. Its crystal system is tetragonal.

Record 16
Entry from the Alexandria database: an optimized crystal structure of YHo2Ag (PBE-GGA).

Cell: 4.764 11.417 8.425 Å, 90.00 90.00 90.00°
Space group Cmcm (No. 63)
Asymmetric unit:
1 Y 0.000 0.052 0.250 [4 per cell]
2 Ho 0.000 0.357 0.046 [8 per cell]
3 Ag 0.000 0.225 0.750 [4 per cell]

Its energy of formation from the pure elements is -0.35 eV/f.u. For the energy above the most stable polymorph in this dataset, the calculation gives 0.048 eV per atom. Its crystal system is orthorhombic.

Record 17
Entry from the Alexandria database: an optimized crystal structure of Ac3Al2Tl2 (PBE-GGA).

Cell: 12.493 4.471 9.135 Å, 90.00 115.44 90.00°
Space group C2/m (No. 12)
Asymmetric unit:
1 Ac 0.000 0.000 0.000 [2 per cell]
2 Ac 0.186 0.000 0.650 [4 per cell]
3 Al 0.193 0.500 0.941 [4 per cell]
4 Tl 0.035 0.500 0.327 [4 per cell]

Its energy of formation from the pure elements is -2.48 eV/f.u. Its crystal system is monoclinic.

Record 18
Entry from the Alexandria database: an optimized crystal structure of Pm2MgIn (PBE-GGA).

Cell: 5.216 5.216 4.189 Å, 90.00 90.00 90.00°
Space group P4/mmm (No. 123)
Asymmetric unit:
1 Pm 0.000 0.500 0.000 [2 per cell]
2 Mg 0.000 0.000 0.500 [1 per cell]
3 In 0.500 0.500 0.500 [1 per cell]

Its energy of formation from the pure elements is -1.28 eV/f.u. Its crystal system is tetragonal.

Record 19
Entry from the Alexandria database: an optimized crystal structure of Si4Mo3 (PBE-GGA).

Cell: 5.2558 5.2558 4.4700 Å, 90.00 90.00 120.00°
Space group P6/mmm (No. 191)
Asymmetric unit:
1 Si 0.0000 0.0000 0.2491 [2 per cell]
2 Si 0.3333 0.6667 0.5000 [2 per cell]
3 Mo 0.0000 0.5000 0.0000 [3 per cell]

The value obtained for the raw formation energy is 0.09 eV/atom. For the energy above the most stable polymorph in this dataset, the calculation gives 0.533 eV per atom. Its crystal system is hexagonal.

Record 20
Entry from the Alexandria database: an optimized crystal structure of K2SrGe2 (PBE-GGA).

Cell: 4.784 4.784 14.841 Å, 90.00 90.00 90.00°
Space group I4/mmm (No. 139)
Asymmetric unit:
1 K 0.000 0.500 0.250 [4 per cell]
2 Sr 0.000 0.000 0.000 [2 per cell]
3 Ge 0.000 0.000 0.419 [4 per cell]

Its energy of formation from the pure elements is -0.73 eV/f.u. For the energy above the most stable polymorph in this dataset, the calculation gives 0.000 eV per atom. Its crystal system is tetragonal.